P.
Material: TaAgB
Method: DFT, PBE
State: optimized geometry

Its crystal system is cubic.

It has space group F-43m (No. 216), with a = 5.8010 Å, b = 5.8010 Å, c = 5.8010 Å, α = 90.00°, β = 90.00° and γ = 90.00°. The asymmetric unit holds Ta at (0.0000, 0.0000, 0.0000), Ag at (0.2500, 0.2500, 0.7500) and B at (0.0000, 0.0000, 0.5000).

Q.
Material: TaAgB
Method: DFT, PBE
State: optimized geometry

Its crystal system is cubic.

It has space group F-43m (No. 216), with a = 5.8867 Å, b = 5.8867 Å, c = 5.8867 Å, α = 90.00°, β = 90.00° and γ = 90.00°. The asymmetric unit holds Ta at (0.0000, 0.0000, 0.0000), Ag at (0.2500, 0.2500, 0.7500) and B at (0.2500, 0.2500, 0.2500).

Of them, Q has the highest stability.

P.
Material: TaAgB4
Method: DFT, PBE
State: optimized geometry

Its crystal system is hexagonal.

It has space group P6/mmm (No. 191), with a = 3.0293 Å, b = 3.0293 Å, c = 7.7781 Å, α = 90.00°, β = 90.00° and γ = 120.00°. The asymmetric unit holds Ta at (0.0000, 0.0000, 0.0000), Ag at (0.0000, 0.0000, 0.5000) and B at (0.3333, 0.6667, 0.2150).

Q.
Material: TaAgB4
Method: DFT, PBE
State: optimized geometry

Its crystal system is orthorhombic.

It has space group Immm (No. 71), with a = 3.0675 Å, b = 5.2428 Å, c = 7.3423 Å, α = 90.00°, β = 90.00° and γ = 90.00°. The asymmetric unit holds Ta at (0.0000, 0.0000, 0.0000), Ag at (0.0000, 0.0000, 0.5000) and B at (0.0000, 0.3262, 0.2624).

Of them, P has the highest stability.

P.
Material: TbAgB4
Method: DFT, PBE
State: optimized geometry

Its crystal system is hexagonal.

It has space group P6/mmm (No. 191), with a = 3.2271 Å, b = 3.2271 Å, c = 7.3412 Å, α = 90.00°, β = 90.00° and γ = 120.00°. The asymmetric unit holds Tb at (0.0000, 0.0000, 0.0000), Ag at (0.0000, 0.0000, 0.5000) and B at (0.3333, 0.6667, 0.2545).

Q.
Material: TbAgB4
Method: DFT, PBE
State: optimized geometry

Its crystal system is orthorhombic.

It has space group Immm (No. 71), with a = 3.1612 Å, b = 5.4214 Å, c = 7.9692 Å, α = 90.00°, β = 90.00° and γ = 90.00°. The asymmetric unit holds Tb at (0.0000, 0.0000, 0.0000), Ag at (0.0000, 0.0000, 0.5000) and B at (0.0000, 0.3199, 0.2601).

Of them, Q has the highest stability.

P.
Material: TlAgB4
Method: DFT, PBE
State: optimized geometry

Its crystal system is hexagonal.

It has space group P6/mmm (No. 191), with a = 3.0542 Å, b = 3.0542 Å, c = 9.2739 Å, α = 90.00°, β = 90.00° and γ = 120.00°. The asymmetric unit holds Tl at (0.0000, 0.0000, 0.0000), Ag at (0.0000, 0.0000, 0.5000) and B at (0.3333, 0.6667, 0.2871).

Q.
Material: TlAgB4
Method: DFT, PBE
State: optimized geometry

Its crystal system is orthorhombic.

It has space group Immm (No. 71), with a = 3.0585 Å, b = 5.2431 Å, c = 9.1776 Å, α = 90.00°, β = 90.00° and γ = 90.00°. The asymmetric unit holds Tl at (0.0000, 0.0000, 0.0000), Ag at (0.0000, 0.0000, 0.5000) and B at (0.0000, 0.3313, 0.2461).

Of them, P has the highest stability.

P.
Material: TmAgB4
Method: DFT, PBE
State: optimized geometry

Its crystal system is orthorhombic.

It has space group Immm (No. 71), with a = 3.1607 Å, b = 5.3891 Å, c = 7.7372 Å, α = 90.00°, β = 90.00° and γ = 90.00°. The asymmetric unit holds Tm at (0.0000, 0.0000, 0.0000), Ag at (0.0000, 0.0000, 0.5000) and B at (0.0000, 0.3202, 0.2620).

Q.
Material: TmAgB4
Method: DFT, PBE
State: optimized geometry

Its crystal system is hexagonal.

It has space group P6/mmm (No. 191), with a = 3.2052 Å, b = 3.2052 Å, c = 7.2326 Å, α = 90.00°, β = 90.00° and γ = 120.00°. The asymmetric unit holds Tm at (0.0000, 0.0000, 0.0000), Ag at (0.0000, 0.0000, 0.5000) and B at (0.3333, 0.6667, 0.2489).

Of them, P has the highest stability.

P.
Material: UAgB
Method: DFT, PBE
State: optimized geometry

Its crystal system is cubic.

It has space group F-43m (No. 216), with a = 6.3877 Å, b = 6.3877 Å, c = 6.3877 Å, α = 90.00°, β = 90.00° and γ = 90.00°. The asymmetric unit holds U at (0.0000, 0.0000, 0.0000), Ag at (0.2500, 0.2500, 0.7500) and B at (0.2500, 0.2500, 0.2500).

Q.
Material: UAgB
Method: DFT, PBE
State: optimized geometry

Its crystal system is cubic.

It has space group F-43m (No. 216), with a = 6.0525 Å, b = 6.0525 Å, c = 6.0525 Å, α = 90.00°, β = 90.00° and γ = 90.00°. The asymmetric unit holds U at (0.0000, 0.0000, 0.0000), Ag at (0.0000, 0.0000, 0.5000) and B at (0.2500, 0.2500, 0.7500).

Of them, Q has the highest stability.

P.
Material: AgBW
Method: DFT, PBE
State: optimized geometry

Its crystal system is cubic.

It has space group F-43m (No. 216), with a = 5.7759 Å, b = 5.7759 Å, c = 5.7759 Å, α = 90.00°, β = 90.00° and γ = 90.00°. The asymmetric unit holds Ag at (0.0000, 0.0000, 0.0000), B at (0.2500, 0.2500, 0.7500) and W at (0.2500, 0.2500, 0.2500).

Q.
Material: AgBW
Method: DFT, PBE
State: optimized geometry

Its crystal system is cubic.

It has space group F-43m (No. 216), with a = 5.8005 Å, b = 5.8005 Å, c = 5.8005 Å, α = 90.00°, β = 90.00° and γ = 90.00°. The asymmetric unit holds Ag at (0.0000, 0.0000, 0.0000), B at (0.0000, 0.0000, 0.5000) and W at (0.2500, 0.2500, 0.2500).

Of them, Q has the highest stability.

P.
Material: AgB4W
Method: DFT, PBE
State: optimized geometry

Its crystal system is orthorhombic.

It has space group Immm (No. 71), with a = 3.0418 Å, b = 5.2662 Å, c = 7.1702 Å, α = 90.00°, β = 90.00° and γ = 90.00°. The asymmetric unit holds Ag at (0.0000, 0.0000, 0.0000), B at (0.0000, 0.3319, 0.2409) and W at (0.0000, 0.0000, 0.5000).

Q.
Material: AgB4W
Method: DFT, PBE
State: optimized geometry

Its crystal system is hexagonal.

It has space group P6/mmm (No. 191), with a = 2.9825 Å, b = 2.9825 Å, c = 7.8027 Å, α = 90.00°, β = 90.00° and γ = 120.00°. The asymmetric unit holds Ag at (0.0000, 0.0000, 0.0000), B at (0.3333, 0.6667, 0.2868) and W at (0.0000, 0.0000, 0.5000).

Of them, Q has the highest stability.

P.
Material: ZnAgB4
Method: DFT, PBE
State: optimized geometry

Its crystal system is hexagonal.

It has space group P6/mmm (No. 191), with a = 3.0418 Å, b = 3.0418 Å, c = 7.3871 Å, α = 90.00°, β = 90.00° and γ = 120.00°. The asymmetric unit holds Zn at (0.0000, 0.0000, 0.0000), Ag at (0.0000, 0.0000, 0.5000) and B at (0.3333, 0.6667, 0.2268).

Q.
Material: ZnAgB4
Method: DFT, PBE
State: optimized geometry

Its crystal system is orthorhombic.

It has space group Immm (No. 71), with a = 3.0263 Å, b = 5.2978 Å, c = 7.4289 Å, α = 90.00°, β = 90.00° and γ = 90.00°. The asymmetric unit holds Zn at (0.0000, 0.0000, 0.0000), Ag at (0.0000, 0.0000, 0.5000) and B at (0.0000, 0.3341, 0.2561).

Of them, P has the highest stability.

P.
Material: CsBaAg
Method: DFT, PBE
State: optimized geometry

Its crystal system is cubic.

It has space group F-43m (No. 216), with a = 8.0631 Å, b = 8.0631 Å, c = 8.0631 Å, α = 90.00°, β = 90.00° and γ = 90.00°. The asymmetric unit holds Cs at (0.0000, 0.0000, 0.0000), Ba at (0.2500, 0.2500, 0.2500) and Ag at (0.2500, 0.2500, 0.7500).

Q.
Material: CsBaAg
Method: DFT, PBE
State: optimized geometry

Its crystal system is cubic.

It has space group F-43m (No. 216), with a = 8.4854 Å, b = 8.4854 Å, c = 8.4854 Å, α = 90.00°, β = 90.00° and γ = 90.00°. The asymmetric unit holds Cs at (0.0000, 0.0000, 0.0000), Ba at (0.0000, 0.0000, 0.5000) and Ag at (0.2500, 0.2500, 0.7500).

Of them, Q has the highest stability.

P.
Material: BaAgGe2
Method: DFT, PBE
State: optimized geometry

Its crystal system is orthorhombic.

It has space group Cmcm (No. 63), with a = 4.8463 Å, b = 19.1651 Å, c = 4.4394 Å, α = 90.00°, β = 90.00° and γ = 90.00°. The asymmetric unit holds Ba at (0.0000, 0.1055, 0.2500), Ag at (0.0000, 0.3247, 0.2500), Ge at (0.0000, 0.2470, 0.7500) and Ge at (0.0000, 0.4644, 0.2500).

Q.
Material: BaAgGe2
Method: DFT, PBE
State: optimized geometry

Its crystal system is cubic.

It has space group F-43m (No. 216), with a = 7.4220 Å, b = 7.4220 Å, c = 7.4220 Å, α = 90.00°, β = 90.00° and γ = 90.00°. The asymmetric unit holds Ba at (0.0000, 0.0000, 0.0000), Ag at (0.2500, 0.2500, 0.2500), Ge at (0.0000, 0.0000, 0.5000) and Ge at (0.2500, 0.2500, 0.7500).

Of them, P has the highest stability.

P.
Material: BaAg2GeO4
Method: DFT, PBE
State: optimized geometry

Its crystal system is tetragonal.

It has space group I-42m (No. 121), with a = 5.9583 Å, b = 5.9583 Å, c = 7.0332 Å, α = 90.00°, β = 90.00° and γ = 90.00°. The asymmetric unit holds Ba at (0.0000, 0.0000, 0.0000), Ag at (0.0000, 0.5000, 0.2500), Ge at (0.0000, 0.0000, 0.5000) and O at (0.1744, 0.1744, 0.3555).

Q.
Material: BaAg2GeO4
Method: DFT, PBE
State: optimized geometry

Its crystal system is orthorhombic.

It has space group I222 (No. 23), with a = 5.9203 Å, b = 6.0327 Å, c = 7.0395 Å, α = 90.00°, β = 90.00° and γ = 90.00°. The asymmetric unit holds Ba at (0.0000, 0.0000, 0.0000), Ag at (0.0000, 0.5000, 0.2091), Ge at (0.0000, 0.0000, 0.5000) and O at (0.1717, 0.1736, 0.6473).

Of them, Q has the highest stability.